K12InAu5 (GGA-PBE, relaxed); V = 750.3 Å³/cell; formation energy = -3.53 eV/f.u.; symmetry = Immm
1.0
9.234 -0.343 -3.688
-4.934 8.254 -2.552
-0.159 0.343 9.942
K Au In
12 5 1
Direct
0.672 0.349 0.021 K
0.889 0.175 0.714 K
0.328 0.651 0.979 K
0.461 0.175 0.286 K
0.672 0.651 0.323 K
0.111 0.825 0.286 K
0.328 0.349 0.677 K
0.817 0.065 0.248 K
0.817 0.569 0.752 K
0.183 0.431 0.248 K
0.183 0.935 0.752 K
0.539 0.825 0.714 K
0.500 0.119 0.619 Au
0.281 0.281 0.000 Au
0.000 0.000 0.000 Au
0.719 0.719 0.000 Au
0.500 0.881 0.381 Au
0.000 0.500 0.500 In

---

BaCuPb2 (GGA-PBE, relaxed); V = 120.4 Å³/cell; formation energy = 0.17 eV/f.u.; symmetry = Fm-3m
1.0
0.000 3.920 3.920
3.920 0.000 3.920
3.920 3.920 0.000
Pb Cu Ba
2 1 1
Direct
0.250 0.250 0.250 Pb
0.750 0.750 0.750 Pb
0.000 0.000 0.000 Cu
0.500 0.500 0.500 Ba

---

SmGdIr (GGA-PBE, relaxed); polymorph energy (0 for the lowest one) = 0.117 eV/atom; V = 80.9 Å³/cell; formation energy = -1.49 eV/f.u.; symmetry = I4mm
1.0
3.530 0.000 0.000
0.000 3.530 0.000
-1.765 -1.765 6.492
Sm Gd Ir
1 1 1
Direct
0.324 0.324 0.647 Sm
0.575 0.575 0.150 Gd
0.951 0.951 0.903 Ir

---

Tb2Pm5NdEr (GGA-PBE, relaxed); V = 618.5 Å³/cell; formation energy = 1.29 eV/f.u.; symmetry = Cmc2_1
1.0
-3.864 2.991 2.860
-3.833 -0.944 -9.796
-4.957 -9.097 2.816
Er Pm Nd Tb
2 10 2 4
Direct
0.410 0.821 0.459 Er
0.590 0.179 0.959 Er
0.520 0.040 0.242 Pm
0.608 0.217 0.525 Pm
0.480 0.960 0.742 Pm
0.719 0.438 0.808 Pm
0.702 0.404 0.204 Pm
0.984 0.967 0.522 Pm
0.281 0.562 0.308 Pm
0.298 0.596 0.704 Pm
0.016 0.033 0.022 Pm
0.392 0.783 0.025 Pm
0.799 0.597 0.510 Nd
0.201 0.403 0.010 Nd
0.116 0.232 0.318 Tb
0.884 0.768 0.818 Tb
0.890 0.779 0.237 Tb
0.110 0.221 0.737 Tb

---

In2Ga8Ag (GGA-PBE, relaxed); polymorph energy (0 for the lowest one) = 0.024 eV/atom; V = 244.9 Å³/cell; formation energy = 0.78 eV/f.u.; symmetry = C2/m
1.0
5.898 -0.985 -0.688
-0.221 6.651 -0.073
-0.221 2.221 6.270
In Ga Ag
2 8 1
Direct
0.628 0.145 0.145 In
0.372 0.855 0.855 In
0.675 0.448 0.448 Ga
0.254 0.275 0.275 Ga
0.038 0.842 0.427 Ga
0.962 0.573 0.158 Ga
0.746 0.725 0.725 Ga
0.962 0.158 0.573 Ga
0.325 0.552 0.552 Ga
0.038 0.427 0.842 Ga
0.000 0.000 0.000 Ag

---

RbZnTc2 (GGA-PBE, relaxed); polymorph energy (0 for the lowest one) = 0.476 eV/atom; V = 76.4 Å³/cell; formation energy = 7.12 eV/f.u.; symmetry = Fm-3m
1.0
1.599 -2.454 3.755
-2.666 -3.463 1.892
1.300 -4.553 -0.509
Zn Tc Rb
1 2 1
Direct
0.000 0.000 0.000 Zn
0.750 0.750 0.750 Tc
0.250 0.250 0.250 Tc
0.500 0.500 0.500 Rb

---

LiGdCo4 (GGA-PBE, relaxed); V = 85.3 Å³/cell; formation energy = -0.35 eV/f.u.; symmetry = F-43m
1.0
-3.965 0.936 2.797
-2.610 -3.734 1.916
0.143 -0.875 4.862
Co Gd Li
4 1 1
Direct
0.626 0.626 0.626 Co
0.123 0.626 0.626 Co
0.626 0.123 0.626 Co
0.626 0.626 0.123 Co
0.250 0.250 0.250 Gd
0.000 0.000 0.000 Li

---

Al4NiOs3 (GGA-PBE, relaxed); V = 107.5 Å³/cell; formation energy = -3.85 eV/f.u.; symmetry = Pmmm
1.0
-0.347 -1.818 2.419
-0.303 -3.326 -2.543
8.331 -1.062 0.397
Al Os Ni
4 3 1
Direct
0.000 0.000 0.500 Al
0.000 0.500 0.750 Al
0.000 0.000 0.000 Al
0.000 0.500 0.250 Al
0.500 0.500 0.500 Os
0.500 0.000 0.241 Os
0.500 0.000 0.759 Os
0.500 0.500 0.000 Ni

---

FeCl3 (GGA-PBE, relaxed); formation energy without anion corrections = -345 meV per atom; V = 106.8 Å³/cell; symmetry = Immm
1.0
6.818 0.305 -0.001
3.506 5.855 0.001
-4.292 -4.538 2.750
Cl Fe
3 1
Direct
0.392 0.392 0.000 Cl
0.750 0.250 0.500 Cl
0.108 0.108 0.000 Cl
0.250 0.750 0.500 Fe

---

RbBeBr2 (GGA-PBE, relaxed); formation energy without anion corrections = -332 meV per atom; polymorph energy (0 for the lowest one) = 0.372 eV/atom; V = 126.7 Å³/cell; symmetry = R-3m
1.0
-8.871 4.990 1.783
-7.596 4.535 5.340
-6.371 7.463 3.239
Br Be Rb
2 1 1
Direct
0.877 0.877 0.877 Br
0.123 0.123 0.123 Br
0.500 0.500 0.500 Be
0.000 0.000 0.000 Rb

---

Ba5Sc (GGA-PBE, relaxed); polymorph energy (0 for the lowest one) = 0.040 eV/atom; V = 320.2 Å³/cell; formation energy = 1.20 eV/f.u.; symmetry = Cmmm
1.0
3.274 -7.466 0.000
3.274 7.466 0.000
0.000 0.000 6.549
Ba Sc
5 1
Direct
0.347 0.653 0.500 Ba
0.000 0.000 0.500 Ba
0.155 0.845 0.000 Ba
0.845 0.155 0.000 Ba
0.653 0.347 0.500 Ba
0.500 0.500 0.000 Sc

---

Ti3AsN (GGA-PBE, relaxed); formation energy without anion corrections = -883 meV per atom; V = 148.9 Å³/cell; symmetry = C2/m
1.0
3.323 0.000 0.000
-1.661 5.339 0.465
0.000 -0.054 8.389
Ti N As
6 2 2
Direct
0.007 0.015 0.165 Ti
0.851 0.702 0.444 Ti
0.718 0.436 0.864 Ti
0.993 0.985 0.835 Ti
0.149 0.298 0.556 Ti
0.282 0.564 0.136 Ti
0.862 0.723 0.019 N
0.138 0.277 0.981 N
0.372 0.744 0.672 As
0.628 0.256 0.328 As